Record 1
NaBeSF2 PBEsol relaxed; SG = P4/mmm, No. 123; ΔE_f (raw) = -524 meV per atom; calculated volume = 15.25 Å³/atom; uncorrected energy = -3.2516 eV per atom; total moment = 1.01 μB/cell
1.0
3.857 0.000 0.000
0.000 3.857 0.000
0.000 0.000 5.128
Na S Be F
1 1 1 2
direct
0.000 0.000 0.000
0.000 0.000 0.500
0.500 0.500 0.500
0.000 0.500 0.000
0.500 0.000 0.000

Record 2
Cs2SnBi2 PBEsol relaxed; SG = P4/mbm, No. 127; formation energy from the elements = -258 meV/atom; calculated volume = 41.28 Å³/atom; uncorrected energy = -3.2010 eV per atom; total moment = 0.00 μB/cell
1.0
-6.252 -0.120 0.129
-0.100 -2.950 -7.568
0.206 -7.568 2.947
Cs Bi Sn
4 4 2
direct
0.500 0.174 0.674
0.500 0.674 0.826
0.500 0.826 0.326
0.500 0.326 0.174
0.000 0.368 0.868
0.000 0.868 0.632
0.000 0.632 0.132
0.000 0.132 0.368
0.000 0.000 0.000
0.000 0.500 0.500

Record 3
BeAl2Cu PBEsol relaxed; SG = P4/mmm, No. 123; formation energy from the elements = 104 meV/atom; calculated volume = 12.65 Å³/atom; uncorrected energy = -4.0251 eV per atom; total moment = 0.00 μB/cell
1.0
3.050 0.000 0.000
0.000 4.073 0.000
0.000 0.000 4.073
Be Al Cu
1 2 1
direct
0.500 0.500 0.500
0.000 0.000 0.500
0.000 0.500 0.000
0.500 0.000 0.000

Record 4
Fe2TeIr PBEsol relaxed; SG = I-4m2, No. 119; ΔE_f (raw) = 310 meV per atom; calculated volume = 14.15 Å³/atom; uncorrected energy = -7.5091 eV per atom; total moment = 4.79 μB/cell
1.0
-3.377 1.268 -1.203
-1.640 -3.204 1.228
1.887 2.624 3.480
Fe Ir Te
2 1 1
direct
0.000 0.000 0.000
0.750 0.250 0.500
0.500 0.500 0.000
0.250 0.750 0.500

Record 5
CaIrSe2N PBEsol relaxed; SG = P4/mmm, No. 123; ΔE_f (raw) = -442 meV per atom; calculated volume = 19.68 Å³/atom; uncorrected energy = -6.0783 eV per atom; total moment = 0.00 μB/cell
1.0
-1.635 -0.986 -3.134
-0.158 -4.913 1.628
-4.633 0.860 2.146
Ca Ir Se N
1 1 2 1
direct
0.500 0.500 0.500
0.000 0.000 0.000
0.000 0.000 0.500
0.000 0.500 0.000
0.500 0.000 0.000

Record 6
MnRu2Rh PBEsol relaxed; SG = I4/mmm, No. 139; formation energy from the elements = 71 meV/atom; calculated volume = 12.80 Å³/atom; uncorrected energy = -9.4904 eV per atom; total moment = 1.34 μB/cell
1.0
-2.878 -2.331 0.043
1.262 -1.616 -3.084
2.783 -0.427 3.586
Mn Rh Ru
1 1 2
direct
0.500 0.500 0.000
0.000 0.000 0.000
0.750 0.250 0.500
0.250 0.750 0.500

Record 7
BeP2Os PBEsol relaxed; SG = P4mm, No. 99; formation energy from the elements = 18 meV/atom; calculated volume = 13.55 Å³/atom; uncorrected energy = -6.9315 eV per atom; total moment = 0.00 μB/cell
1.0
-1.954 0.834 -1.955
-0.980 -2.710 -0.176
-4.249 1.228 4.770
P Os Be
2 1 1
direct
0.000 0.000 0.927
0.500 0.500 0.334
0.500 0.500 0.719
0.000 0.000 0.520

Record 8
SrAl2 PBEsol relaxed; SG = Fd-3m, No. 227; formation energy from the elements = -271 meV/atom; calculated volume = 22.96 Å³/atom; uncorrected energy = -3.6123 eV per atom; total moment = 0.00 μB/cell
1.0
-2.786 1.383 -4.891
-5.649 1.292 0.148
-1.750 5.453 -0.896
Sr Al
2 4
direct
0.750 0.750 0.750
0.500 0.500 0.500
0.125 0.125 0.125
0.125 0.625 0.125
0.625 0.125 0.125
0.125 0.125 0.625

Record 9
SiAgS2 PBEsol relaxed; SG = R-3m, No. 166; ΔE_f (raw) = 264 meV per atom; calculated volume = 21.53 Å³/atom; uncorrected energy = -4.1929 eV per atom; total moment = 0.00 μB/cell
1.0
3.815 0.000 0.000
1.908 3.304 0.000
1.908 1.101 6.830
S Si Ag
2 1 1
direct
0.900 0.900 0.299
0.100 0.100 0.701
0.000 0.000 0.000
0.500 0.500 0.500

Record 10
BaCo3Pt PBEsol relaxed; SG = Pm-3m, No. 221; formation energy from the elements = 748 meV/atom; calculated volume = 20.86 Å³/atom; uncorrected energy = -5.7170 eV per atom; total moment = 5.87 μB/cell
1.0
4.707 0.000 0.000
0.000 4.707 0.000
0.000 0.000 4.707
Co Ba Pt
3 1 1
direct
0.000 0.500 0.000
0.000 0.000 0.500
0.500 0.000 0.000
0.500 0.500 0.500
0.000 0.000 0.000

Record 11
KMgIr2Au PBEsol relaxed; SG = P4/mmm, No. 123; formation energy from the elements = 2376 meV/atom; calculated volume = 19.64 Å³/atom; uncorrected energy = -2.9079 eV per atom; total moment = 0.00 μB/cell
1.0
-1.043 -3.421 2.917
0.065 -3.006 -3.502
4.490 -0.750 0.727
K Ir Au Mg
1 2 1 1
direct
0.000 0.000 0.000
0.000 0.500 0.000
0.500 0.000 0.000
0.500 0.500 0.500
0.000 0.000 0.500

Record 12
Al2As2Pb PBEsol relaxed; SG = I4/mmm, No. 139; formation energy from the elements = -1 meV/atom; calculated volume = 21.42 Å³/atom; uncorrected energy = -4.4802 eV per atom; total moment = 0.00 μB/cell
1.0
-2.169 4.192 -1.277
-3.814 -1.105 2.852
4.968 0.528 2.658
Pb As Al
1 2 2
direct
0.000 0.000 0.000
0.250 0.750 0.500
0.750 0.250 0.500
0.356 0.356 0.711
0.644 0.644 0.289

Record 13
CrFeRh2 PBEsol relaxed; SG = Pmm2, No. 25; formation energy from the elements = 10 meV/atom; calculated volume = 12.32 Å³/atom; uncorrected energy = -8.8607 eV per atom; total moment = 1.40 μB/cell
1.0
-2.001 -1.535 -0.651
2.306 -2.654 -0.830
-0.252 -1.759 4.927
Cr Fe Rh
1 1 2
direct
0.000 0.000 0.509
0.500 0.500 0.744
0.000 0.000 0.981
0.500 0.500 0.266

Record 14
Ga3HgOs PBEsol relaxed; SG = Pm-3m, No. 221; formation energy from the elements = 56 meV/atom; calculated volume = 22.08 Å³/atom; uncorrected energy = -4.5048 eV per atom; total moment = 0.00 μB/cell
1.0
-2.451 -3.638 1.940
-0.953 -1.696 -4.385
4.012 -2.626 0.143
Os Hg Ga
1 1 3
direct
0.000 0.000 0.000
0.500 0.500 0.500
0.000 0.500 0.000
0.000 0.000 0.500
0.500 0.000 0.000

Record 15
LiFe2Hg PBEsol relaxed; SG = I-4m2, No. 119; formation energy from the elements = 256 meV/atom; calculated volume = 13.44 Å³/atom; uncorrected energy = -4.8587 eV per atom; total moment = 4.79 μB/cell
1.0
-2.874 1.077 2.929
-0.750 -3.243 -2.616
0.021 -3.975 1.482
Fe Hg Li
2 1 1
direct
0.000 0.000 0.000
0.250 0.500 0.250
0.500 0.000 0.500
0.750 0.500 0.750

Record 16
CrAs2Au PBEsol relaxed; SG = Immm, No. 71; formation energy from the elements = 292 meV/atom; calculated volume = 18.79 Å³/atom; uncorrected energy = -5.8026 eV per atom; total moment = 3.03 μB/cell
1.0
-1.836 -2.734 1.354
1.953 0.411 3.479
-3.769 4.491 -0.726
As Au Cr
2 1 1
direct
0.832 0.832 0.663
0.168 0.168 0.337
0.000 0.500 0.000
0.500 0.000 0.000

Record 17
Ca3Tl2O6 PBEsol relaxed; SG = Pbam, No. 55; ΔE_f (raw) = -1978 meV per atom; calculated volume = 13.98 Å³/atom; uncorrected energy = -5.9014 eV per atom; total moment = 0.00 μB/cell
1.0
-2.057 -2.569 -0.495
7.942 -5.205 -6.005
5.656 -7.166 13.692
Ca O Tl
12 24 8
direct
0.500 0.172 0.775
0.500 0.828 0.225
0.500 0.328 0.275
0.500 0.672 0.725
0.500 0.134 0.541
0.500 0.866 0.459
0.500 0.366 0.041
0.500 0.634 0.959
0.500 0.397 0.646
0.500 0.603 0.354
0.500 0.103 0.146
0.500 0.897 0.854
0.000 0.053 0.839
0.000 0.947 0.161
0.000 0.447 0.339
0.000 0.553 0.661
0.000 0.500 0.000
0.000 0.000 0.500
0.000 0.281 0.569
0.000 0.719 0.431
0.000 0.219 0.069
0.000 0.781 0.931
0.500 0.000 0.000
0.500 0.500 0.500
0.500 0.284 0.905
0.500 0.716 0.095
0.500 0.216 0.405
0.500 0.784 0.595
0.500 0.043 0.667
0.500 0.957 0.333
0.500 0.457 0.167
0.500 0.543 0.833
0.000 0.309 0.738
0.000 0.691 0.262
0.000 0.191 0.238
0.000 0.809 0.762
0.000 0.135 0.955
0.000 0.865 0.045
0.000 0.365 0.455
0.000 0.635 0.545
0.000 0.085 0.352
0.000 0.915 0.648
0.000 0.415 0.852
0.000 0.585 0.148

Record 18
TlRhCl3 PBEsol relaxed; SG = Pm-3m, No. 221; ΔE_f (raw) = -573 meV per atom; calculated volume = 21.78 Å³/atom; uncorrected energy = -3.9314 eV per atom; total moment = 0.00 μB/cell
1.0
4.776 0.000 0.000
0.000 4.776 0.000
0.000 0.000 4.776
Tl Rh Cl
1 1 3
direct
0.500 0.500 0.500
0.000 0.000 0.000
0.000 0.500 0.000
0.000 0.000 0.500
0.500 0.000 0.000

Record 19
InIr2Se PBEsol relaxed; SG = F-43m, No. 216; ΔE_f (raw) = 612 meV per atom; calculated volume = 16.64 Å³/atom; uncorrected energy = -6.0075 eV per atom; total moment = 0.00 μB/cell
1.0
-2.431 0.513 3.810
-3.834 -2.375 0.588
-0.150 -3.353 3.070
In Ir Se
1 2 1
direct
0.500 0.500 0.500
0.000 0.000 0.000
0.750 0.750 0.750
0.250 0.250 0.250

Record 20
YCrTc PBEsol relaxed; SG = F-43m, No. 216; formation energy from the elements = 1602 meV/atom; calculated volume = 21.35 Å³/atom; uncorrected energy = -7.8414 eV per atom; total moment = 2.33 μB/cell
1.0
-0.302 -4.430 0.672
2.427 -1.951 3.236
-2.026 -1.579 3.684
Cr Tc Y
1 1 1
direct
0.000 0.000 0.000
0.500 0.500 0.500
0.250 0.250 0.250